# 1
5
Lattice="5.145 0.000 0.000 0.000 5.145 0.000 0.000 0.000 5.283" Properties=species:S:1:pos:R:3 comment="ScAsAuBr2 | Alexandria via LeMat-Bulk | PBE | relaxed" density_kg_m3=5661 volume_a3_per_atom=27.96 sg="No. 123" e_form_raw_ev_per_atom=0.22 e_tot_ev_per_cell=-16.49 pbc="T T T"
Sc 0.000 0.000 0.000
As 2.572 2.572 0.000
Au 2.572 2.572 2.641
Br 0.000 2.572 2.641
Br 2.572 0.000 2.641

# 2
5
Lattice="5.329 0.000 0.000 0.000 5.329 0.000 0.000 0.000 4.570" Properties=species:S:1:pos:R:3 comment="Y2TcOsAu | Alexandria via LeMat-Bulk | PBE | relaxed" delta_e_f_kj_per_mol_fu=240.7 density_kg_m3=8482 volume_a3_per_atom=25.96 sg="No. 123" e_tot_ev_per_cell=-35.31 pbc="T T T"
Y 0.000 2.665 0.000
Y 2.665 0.000 0.000
Tc 0.000 0.000 0.000
Os 0.000 0.000 2.285
Au 2.665 2.665 2.285

# 3
5
Lattice="5.861 0.000 0.000 0.000 5.861 0.000 0.000 0.000 3.575" Properties=species:S:1:pos:R:3 comment="Y2VHgH | Alexandria via LeMat-Bulk | PBE | relaxed" density_kg_m3=5819 volume_a3_per_atom=24.56 sg="No. 123" e_tot_ev_per_cell=-22.48 pbc="T T T"
Y 0.000 2.930 0.000
Y 2.930 0.000 0.000
V 0.000 0.000 1.788
Hg 2.930 2.930 0.000
H 2.930 2.930 1.788

# 4
4
Lattice="0.000 3.854 3.854 3.854 0.000 3.854 3.854 3.854 0.000" Properties=species:S:1:pos:R:3 comment="EuPuAgPb | Alexandria via LeMat-Bulk | PBE | relaxed" delta_e_f_kj_per_mol_fu=-67.8 density_kg_m3=10309 volume_a3_per_atom=28.63 sg="No. 216" e_tot_ev_per_cell=-31.87 pbc="T T T"
Eu 0.000 0.000 0.000
Pu 3.854 3.854 3.854
Ag 5.782 5.782 5.782
Pb 1.927 1.927 1.927

# 5
5
Lattice="5.936 0.000 0.000 0.000 5.936 0.000 0.000 0.000 5.936" Properties=species:S:1:pos:R:3 comment="Sr3AlAs | Alexandria via LeMat-Bulk | PBE | relaxed" delta_e_f_kj_per_mol_fu=-170.4 density_kg_m3=2895 volume_a3_per_atom=41.84 sg="No. 221" e_tot_ev_per_cell=-15.20 pbc="T T T"
Sr 0.000 0.000 2.968
Sr 0.000 2.968 0.000
Sr 2.968 0.000 0.000
Al 2.968 2.968 2.968
As 0.000 0.000 0.000

# 6
13
Lattice="6.338 -3.031 0.000 6.338 3.031 0.000 -1.404 0.000 5.115" Properties=species:S:1:pos:R:3 comment="Ge2Mo8C3 | Alexandria via LeMat-Bulk | PBE | relaxed" delta_e_f_kj_per_mol_fu=165.6 density_kg_m3=8016 volume_a3_per_atom=15.12 sg="No. 12" e_tot_ev_per_cell=-121.84 pbc="T T T"
Ge 2.676 0.000 1.609
Ge 8.597 0.000 3.506
Mo -0.097 0.000 4.571
Mo 4.316 1.443 3.070
Mo 6.956 1.443 2.046
Mo 5.013 0.000 0.596
Mo 6.259 0.000 4.519
Mo 4.316 -1.443 3.070
Mo 6.956 -1.443 2.046
Mo 11.369 0.000 0.544
C -0.702 0.000 2.558
C 6.338 1.505 0.000
C 6.338 -1.505 0.000

# 7
16
Lattice="-3.463 3.463 5.444 3.463 -3.463 5.444 3.463 3.463 -5.444" Properties=species:S:1:pos:R:3 comment="TmZn2Pd5 | Alexandria via LeMat-Bulk | PBE | relaxed" delta_e_f_kj_per_mol_fu=-468.0 density_kg_m3=10579 volume_a3_per_atom=16.32 sg="No. 140" e_tot_ev_per_cell=-75.67 pbc="T T T"
Tm 0.000 0.000 2.722
Tm 0.000 0.000 8.167
Zn 4.510 1.047 0.000
Zn 1.047 2.416 0.000
Zn 2.416 1.047 5.444
Zn -1.047 2.416 5.444
Pd 0.000 0.000 0.000
Pd 4.463 -1.000 1.679
Pd 2.463 -1.000 3.766
Pd 2.463 1.000 1.679
Pd 4.463 1.000 3.766
Pd 0.000 0.000 5.444
Pd -1.000 2.463 1.679
Pd 1.000 2.463 3.766
Pd 1.000 4.463 1.679
Pd -1.000 4.463 3.766

# 8
4
Lattice="0.000 3.424 3.424 3.424 0.000 3.424 3.424 3.424 0.000" Properties=species:S:1:pos:R:3 comment="LuHfMgRh | Alexandria via LeMat-Bulk | PBE | relaxed" delta_e_f_kj_per_mol_fu=-122.7 density_kg_m3=9941 volume_a3_per_atom=20.07 sg="No. 216" e_tot_ev_per_cell=-24.69 pbc="T T T"
Lu 0.000 0.000 0.000
Hf 3.424 3.424 3.424
Mg 5.136 5.136 5.136
Rh 1.712 1.712 1.712

# 9
4
Lattice="1.452 0.838 12.386 -1.452 0.838 12.386 0.000 -1.676 12.386" Properties=species:S:1:pos:R:3 comment="OsSeCl2 | Alexandria via LeMat-Bulk | PBE | relaxed" density_kg_m3=6247 volume_a3_per_atom=22.60 sg="No. 166" e_form_raw_ev_per_atom=0.32 e_tot_ev_per_cell=-17.14 pbc="T T T"
Os 0.000 0.000 0.000
Se 0.000 0.000 18.579
Cl 0.000 0.000 2.208
Cl 0.000 0.000 34.951

# 10
13
Lattice="6.990 -4.116 0.000 6.990 4.116 0.000 -2.664 0.000 6.609" Properties=species:S:1:pos:R:3 comment="Ce3Dy2S8 | Alexandria via LeMat-Bulk | PBE | relaxed" density_kg_m3=4375 volume_a3_per_atom=29.25 sg="No. 12" e_form_raw_ev_per_atom=-1.95 e_tot_ev_per_cell=-85.32 pbc="T T T"
Ce 0.000 0.000 0.000
Ce 5.658 2.004 3.304
Ce 5.658 -2.004 3.304
Dy 2.154 0.000 3.587
Dy 9.162 0.000 3.022
S 3.274 2.242 4.771
S -0.354 0.000 4.924
S 8.042 2.242 1.838
S 4.331 0.000 2.050
S 6.985 0.000 4.559
S 3.274 -2.242 4.771
S 11.670 0.000 1.685
S 8.042 -2.242 1.838

# 11
4
Lattice="-1.968 1.968 4.493 1.968 -1.968 4.493 1.968 1.968 -4.493" Properties=species:S:1:pos:R:3 comment="CdTc2Hg | Alexandria via LeMat-Bulk | PBE | relaxed" delta_e_f_kj_per_mol_fu=265.2 density_kg_m3=12138 volume_a3_per_atom=17.41 sg="No. 139" e_tot_ev_per_cell=-19.20 pbc="T T T"
Cd 0.000 0.000 0.000
Tc 1.968 0.000 2.247
Tc 0.000 1.968 2.247
Hg 0.000 0.000 4.493

# 12
16
Lattice="6.718 0.000 0.000 0.000 14.417 0.000 0.000 0.000 6.988" Properties=species:S:1:pos:R:3 comment="Rb3Tl4Zn | Alexandria via LeMat-Bulk | PBE | relaxed" delta_e_f_kj_per_mol_fu=-30.6 density_kg_m3=5590 volume_a3_per_atom=42.30 sg="No. 59" e_tot_ev_per_cell=-27.92 pbc="T T T"
Rb 1.680 0.042 1.328
Rb 1.680 7.166 1.328
Rb 1.680 10.813 3.693
Rb 5.039 3.604 3.294
Rb 5.039 7.251 5.660
Rb 5.039 14.375 5.660
Tl 0.061 10.813 0.112
Tl 1.680 1.923 4.645
Tl 1.680 5.285 4.645
Tl 3.298 10.813 0.112
Tl 3.420 3.604 6.876
Tl 5.039 9.132 2.343
Tl 5.039 12.494 2.343
Tl 6.657 3.604 6.876
Zn 1.680 3.604 2.250
Zn 5.039 10.813 4.738

# 13
6
Lattice="0.000 3.883 3.883 3.883 0.000 3.883 3.883 3.883 0.000" Properties=species:S:1:pos:R:3 comment="DyPuMo4 | Alexandria via LeMat-Bulk | PBE | relaxed" delta_e_f_kj_per_mol_fu=132.6 density_kg_m3=11211 volume_a3_per_atom=19.51 sg="No. 216" e_tot_ev_per_cell=-60.88 pbc="T T T"
Dy 0.000 0.000 0.000
Pu 5.824 5.824 5.824
Mo 2.913 2.913 2.913
Mo 4.852 4.852 2.913
Mo 4.852 2.913 4.852
Mo 2.913 4.852 4.852

# 14
6
Lattice="5.067 0.000 0.000 -2.534 4.388 0.000 0.000 0.000 8.136" Properties=species:S:1:pos:R:3 comment="BaMg2TlIn2 | Alexandria via LeMat-Bulk | PBE | relaxed" delta_e_f_kj_per_mol_fu=-116.2 density_kg_m3=5690 volume_a3_per_atom=30.15 sg="No. 164" e_tot_ev_per_cell=-14.16 pbc="T T T"
Ba 0.000 0.000 0.000
Mg 0.000 2.926 5.310
Mg 2.534 1.463 2.826
Tl 0.000 0.000 4.068
In 0.000 2.926 2.089
In 2.534 1.463 6.047

# 15
5
Lattice="4.875 0.000 0.000 0.000 4.875 0.000 0.000 0.000 4.875" Properties=species:S:1:pos:R:3 comment="NaHf3Be | Alexandria via LeMat-Bulk | PBE | relaxed" delta_e_f_kj_per_mol_fu=918.4 density_kg_m3=8132 volume_a3_per_atom=23.17 sg="No. 221" e_tot_ev_per_cell=-25.39 pbc="T T T"
Na 0.000 0.000 0.000
Hf 0.000 0.000 2.438
Hf 0.000 2.438 0.000
Hf 2.438 0.000 0.000
Be 2.438 2.438 2.438

# 16
10
Lattice="6.782 0.000 0.000 0.000 6.782 0.000 0.000 0.000 5.748" Properties=species:S:1:pos:R:3 comment="Cs2Cu2Rh | Alexandria via LeMat-Bulk | PBE | relaxed" delta_e_f_kj_per_mol_fu=293.7 density_kg_m3=6229 volume_a3_per_atom=26.43 sg="No. 127" e_tot_ev_per_cell=-28.41 pbc="T T T"
Cs 1.247 2.144 0.000
Cs 2.144 5.535 0.000
Cs 4.638 1.247 0.000
Cs 5.535 4.638 0.000
Cu 0.917 4.308 2.874
Cu 2.474 0.917 2.874
Cu 4.308 5.864 2.874
Cu 5.864 2.474 2.874
Rh 0.000 0.000 2.874
Rh 3.391 3.391 2.874

# 17
5
Lattice="4.498 0.000 0.000 0.000 4.498 0.000 0.000 0.000 4.498" Properties=species:S:1:pos:R:3 comment="Co3TeW | Alexandria via LeMat-Bulk | PBE | relaxed" density_kg_m3=8906 volume_a3_per_atom=18.21 sg="No. 221" e_form_raw_ev_per_atom=1.75 e_tot_ev_per_cell=-28.67 pbc="T T T"
Co 0.000 0.000 2.249
Co 0.000 2.249 0.000
Co 2.249 0.000 0.000
Te 0.000 0.000 0.000
W 2.249 2.249 2.249

# 18
12
Lattice="4.928 0.000 0.000 -2.464 4.268 0.000 0.000 0.000 6.412" Properties=species:S:1:pos:R:3 comment="DyB2IrO8 | Alexandria via LeMat-Bulk | PBE | relaxed" density_kg_m3=6210 volume_a3_per_atom=11.24 sg="No. 164" e_form_raw_ev_per_atom=-1.68 e_tot_ev_per_cell=-86.59 pbc="T T T"
Dy 0.000 0.000 0.000
B 0.000 2.845 1.507
B 2.464 1.423 4.904
Ir 0.000 0.000 3.206
O 0.000 1.454 1.948
O -1.205 3.541 1.948
O 0.000 2.845 0.068
O 1.260 0.727 4.464
O 1.205 3.541 1.948
O 2.464 1.423 6.344
O 3.669 0.727 4.464
O 2.464 2.814 4.464